(1)
LaMoAu2I | PBE | relaxed

Lattice parameters (Å, degrees): 5.2976 5.0584 5.2976 90.00 90.00 90.00
With the nearest neighbours (Å) after each atom.
Fractional positions:
1 I 0.0000 0.0000 0.0000  2 Mo 2.53, 4 Au 2.65
2 Mo 0.0000 0.5000 0.0000  2 I 2.53
3 Au 0.0000 0.0000 0.5000  2 I 2.65
4 Au 0.5000 0.0000 0.0000  2 I 2.65
5 La 0.5000 0.5000 0.5000  8 Au 3.66, 4 Mo 3.75

Calculated values
- energy (eV per atom) = -3.88
- formation energy from raw total energies (eV/atom) = 0.896
- M_tot (μB/atom) = 0.41
- crystal system = tetragonal
- symmetry = No. 123
- volume (Å³/atom) = 28.39

---

(2)
Tl2Ag2BiTe4 | PBE | relaxed

Lattice parameters (Å, degrees): 4.3671 8.6959 8.4210 111.78 90.00 104.54
With the nearest neighbours (Å) after each atom.
Fractional positions:
1 Tl 0.8705 0.7410 0.4348  7 Te 3.50-3.61, 1 Ag 3.81
2 Tl 0.1295 0.2590 0.5652  7 Te 3.50-3.61, 1 Ag 3.81
3 Ag 0.3091 0.6182 0.0107  4 Te 2.85-2.92, 2 Ag 2.91
4 Ag 0.6909 0.3818 0.9892  4 Te 2.85-2.92, 2 Ag 2.91
5 Bi 0.0000 0.0000 0.0000  6 Te 3.16-3.18
6 Te 0.7980 0.5960 0.7863  3 Ag 2.85-2.92, 1 Bi 3.18
7 Te 0.2020 0.4040 0.2137  3 Ag 2.85-2.92, 1 Bi 3.18
8 Te 0.4840 0.9681 0.2566  1 Ag 2.88, 2 Bi 3.16
9 Te 0.5160 0.0319 0.7434  1 Ag 2.88, 2 Bi 3.16

Calculated values
- energy (eV per atom) = -3.18
- formation energy from raw total energies (eV/atom) = -0.193
- M_tot (μB/atom) = 0.00
- crystal system = monoclinic
- symmetry = No. 12
- volume (Å³/atom) = 31.77

---

(3)
CdBP2O | PBE | relaxed

Lattice parameters (Å, degrees): 5.0509 5.0509 4.0202 90.00 90.00 90.00
With the nearest neighbours (Å) after each atom.
Fractional positions:
1 P 0.0000 0.5000 0.0000  2 Cd 2.53
2 P 0.5000 0.0000 0.0000  2 Cd 2.53
3 B 0.5000 0.5000 0.5000  8 P 3.23, 4 O 3.57
4 O 0.0000 0.0000 0.5000  2 Cd 2.01
5 Cd 0.0000 0.0000 0.0000  2 O 2.01

Calculated values
- energy (eV per atom) = -2.87
- formation energy from raw total energies (eV/atom) = 1.807
- M_tot (μB/atom) = 0.32
- crystal system = tetragonal
- energy above the most stable polymorph in this dataset (meV/atom) = 1731
- symmetry = No. 123
- volume (Å³/atom) = 20.51

---

(4)
Fe2TcSbBr | PBE | relaxed

Lattice parameters (Å, degrees): 4.3063 5.8320 4.3063 90.00 90.00 90.00
With the nearest neighbours (Å) after each atom.
Fractional positions:
1 Sb 0.0000 0.5000 0.0000  2 Br 2.92, 4 Tc 3.05
2 Tc 0.5000 0.5000 0.5000  4 Sb 3.05
3 Br 0.0000 0.0000 0.0000  4 Fe 2.15
4 Fe 0.0000 0.0000 0.5000  2 Br 2.15
5 Fe 0.5000 0.0000 0.0000  2 Br 2.15

Calculated values
- energy (eV per atom) = -5.07
- formation energy from raw total energies (eV/atom) = 1.552
- M_tot (μB/atom) = 1.54
- crystal system = tetragonal
- symmetry = No. 123
- volume (Å³/atom) = 21.63